*1*
Here is a relaxed NbAl2Os2 crystal from Alexandria. Energies are from PBE.

Calculated volume, A^3/atom: 16.2
Crystal system: orthorhombic
Magnetization, μB per atom: 0.0000

Cell and atoms, written as POSCAR:
```
NbAl2Os2
1.0
-1.3101 -1.2934 2.4532
1.2538 -2.6204 -0.7119
7.7023 0.7531 4.5104
Nb Al Os
1 2 2
Cartesian
0.0000 0.0000 0.0000
5.1386 0.0055 2.7471
3.8175 -1.8728 1.0514
1.3632 -1.5511 1.8276
6.2827 -1.6095 4.4241
```

=====

*2*
Here is a relaxed NbAl2Os2 crystal from Alexandria. Energies are from PBE.

Calculated volume, A^3/atom: 15.5
Crystal system: tetragonal
Magnetization, μB per atom: 0.0000

Cell and atoms, written as POSCAR:
```
NbAl2Os2
1.0
-6.9065 -1.7369 0.7571
1.6984 -6.9437 -0.4364
0.3545 -0.1019 3.0006
Nb Os Al
2 4 4
Cartesian
0.0000 0.0000 0.0000
-2.6041 -4.3403 0.1604
-0.9860 -6.5306 -0.1052
-4.7870 -5.9774 0.3627
-4.2221 -2.1499 0.4259
-0.4211 -2.7032 -0.0420
0.2502 -4.8166 1.3299
-2.8601 -7.0870 1.6203
-5.1038 -3.9658 1.9914
-1.9934 -1.6954 1.7009
```

=====

Stability check: which of them is most stable? *1*.

=====

*1*
Here is a relaxed NbAl2Os crystal from Alexandria. Energies are from PBE.

Calculated volume, A^3/atom: 15.3
Crystal system: tetragonal
Magnetization, μB per atom: 0.0000

Cell and atoms, written as POSCAR:
```
NbAl2Os
1.0
3.0000 0.0000 0.0000
0.0000 3.0000 0.0000
0.0000 0.0000 6.8180
Nb Os Al
1 1 2
Cartesian
1.5000 1.5000 3.4090
1.5000 1.5000 0.0000
0.0000 0.0000 5.3678
0.0000 0.0000 1.4502
```

=====

*2*
Here is a relaxed NbAl2Os crystal from Alexandria. Energies are from PBE.

Calculated volume, A^3/atom: 17.2
Crystal system: tetragonal
Magnetization, μB per atom: 0.0000

Cell and atoms, written as POSCAR:
```
NbAl2Os
1.0
3.7978 0.0000 0.0000
0.0000 3.7978 0.0000
1.8989 1.8989 9.5160
Nb Os Al
2 2 4
Cartesian
1.8989 1.8989 0.0000
1.8989 3.7978 4.7580
0.0000 0.0000 0.0000
3.7978 1.8989 4.7580
2.8511 0.9495 2.3790
0.9467 2.8484 2.3790
2.8484 2.8456 7.1370
4.7473 4.7500 7.1370
```

=====

*3*
Here is a relaxed NbAl2Os crystal from Alexandria. Energies are from PBE.

Calculated volume, A^3/atom: 15.2
Crystal system: cubic
Magnetization, μB per atom: 0.3719

Cell and atoms, written as POSCAR:
```
NbAl2Os
1.0
0.2296 -2.7439 3.4515
-3.3661 -2.7153 0.8893
0.4347 -4.3442 -0.6584
Nb Os Al
1 1 2
Cartesian
0.0000 0.0000 0.0000
-1.3509 -4.9017 1.8412
-0.6755 -2.4509 0.9206
-2.0264 -7.3526 2.7618
```

=====

Stability check: which of them is most stable? *1*.

=====

*1*
Here is a relaxed Nb2AlP crystal from Alexandria. Energies are from PBE.

Calculated volume, A^3/atom: 17.5
Crystal system: tetragonal
Magnetization, μB per atom: 0.0000

Cell and atoms, written as POSCAR:
```
Nb2AlP
1.0
3.8523 0.0000 0.0000
0.0000 3.8523 0.0000
1.9262 1.9262 9.4432
P Nb Al
2 4 2
Cartesian
0.0000 0.0000 0.0000
3.8523 1.9262 4.7216
2.8875 0.9631 2.3608
0.9648 2.8892 2.3608
2.8892 2.8910 7.0824
4.8154 4.8136 7.0824
1.9262 1.9262 0.0000
1.9262 3.8523 4.7216
```

=====

*2*
Here is a relaxed Nb2AlP crystal from Alexandria. Energies are from PBE.

Calculated volume, A^3/atom: 17.6
Crystal system: trigonal
Magnetization, μB per atom: 0.0000

Cell and atoms, written as POSCAR:
```
Nb2AlP
1.0
-1.2628 1.7738 -2.7894
-3.3571 -0.4622 -1.0186
-3.3976 5.2838 2.6538
P Nb Al
1 2 1
Cartesian
0.0000 0.0000 0.0000
-1.9208 1.4307 -0.4652
-6.0968 5.1647 -0.6890
-4.0088 3.2977 -0.5771
```

=====

*3*
Here is a relaxed Nb2AlP crystal from Alexandria. Energies are from PBE.

Calculated volume, A^3/atom: 16.0
Crystal system: cubic
Magnetization, μB per atom: 0.0000

Cell and atoms, written as POSCAR:
```
Nb2AlP
1.0
-1.0440 2.6807 3.4521
1.5536 4.2148 0.1216
-2.8144 3.4503 -0.6058
P Nb Al
1 2 1
Cartesian
-1.1524 5.1729 1.4840
-0.5762 2.5864 0.7420
-1.7286 7.7593 2.2259
0.0000 0.0000 0.0000
```

=====

Stability check: which of them is most stable? *2*.

=====

*1*
Here is a relaxed NbAlPS2 crystal from Alexandria. Energies are from PBE.

Calculated volume, A^3/atom: 22.7
Crystal system: tetragonal
Magnetization, μB per atom: 0.0000

Cell and atoms, written as POSCAR:
```
NbAlPS2
1.0
-1.9045 3.9846 -1.8381
-4.3874 -1.7651 0.7195
-0.0819 2.0471 4.5227
P Nb S Al
1 1 2 1
Cartesian
-0.0409 1.0236 2.2613
0.0000 0.0000 0.0000
-2.1937 -0.8826 0.3598
-0.9523 1.9923 -0.9190
-3.1869 2.1333 1.7021
```

=====

*2*
Here is a relaxed NbAlPS2 crystal from Alexandria. Energies are from PBE.

Calculated volume, A^3/atom: 18.8
Crystal system: tetragonal
Magnetization, μB per atom: 0.3591

Cell and atoms, written as POSCAR:
```
NbAlPS2
1.0
4.5362 0.0000 0.0000
0.0000 4.5362 0.0000
0.0000 0.0000 4.5803
P Nb S Al
1 1 2 1
Cartesian
0.0000 0.0000 2.2902
2.2681 2.2681 2.2902
0.0000 2.2681 0.0000
2.2681 0.0000 0.0000
0.0000 0.0000 0.0000
```

=====

Stability check: which of them is most stable? *1*.

=====

*1*
Here is a relaxed Nb2AlPb2 crystal from Alexandria. Energies are from PBE.

Calculated volume, A^3/atom: 21.9
Crystal system: tetragonal
Magnetization, μB per atom: 0.0000

Cell and atoms, written as POSCAR:
```
Nb2AlPb2
1.0
7.0908 0.0000 0.0000
0.0000 7.0908 0.0000
0.0000 0.0000 4.3583
Pb Nb Al
4 4 2
Cartesian
1.1738 4.7192 2.1792
4.7192 5.9170 2.1792
5.9170 2.3716 2.1792
2.3716 1.1738 2.1792
2.5389 6.0843 0.0000
6.0843 4.5519 0.0000
4.5519 1.0065 0.0000
1.0065 2.5389 0.0000
0.0000 0.0000 0.0000
3.5454 3.5454 0.0000
```

=====

*2*
Here is a relaxed Nb2AlPb2 crystal from Alexandria. Energies are from PBE.

Calculated volume, A^3/atom: 23.8
Crystal system: tetragonal
Magnetization, μB per atom: 0.0000

Cell and atoms, written as POSCAR:
```
Nb2AlPb2
1.0
4.0999 0.0000 0.0000
0.0000 4.0999 0.0000
2.0499 2.0499 7.0842
Pb Nb Al
2 2 1
Cartesian
4.0999 2.0499 3.5421
2.0499 4.0999 3.5421
2.0499 2.0499 1.2456
4.0999 4.0999 5.8386
0.0000 0.0000 0.0000
```

=====

Stability check: which of them is most stable? *1*.

=====

*1*
Here is a relaxed Nb3AlPb crystal from Alexandria. Energies are from PBE.

Calculated volume, A^3/atom: 21.8
Crystal system: cubic
Magnetization, μB per atom: 0.0003

Cell and atoms, written as POSCAR:
```
Nb3AlPb
1.0
4.7756 0.0000 0.0000
0.0000 4.7756 0.0000
0.0000 0.0000 4.7756
Pb Nb Al
1 3 1
Cartesian
2.3878 2.3878 2.3878
0.0000 2.3878 0.0000
0.0000 0.0000 2.3878
2.3878 0.0000 0.0000
0.0000 0.0000 0.0000
```

=====

*2*
Here is a relaxed Nb3AlPb crystal from Alexandria. Energies are from PBE.

Calculated volume, A^3/atom: 26.7
Crystal system: cubic
Magnetization, μB per atom: 0.0000

Cell and atoms, written as POSCAR:
```
Nb3AlPb
1.0
5.1137 0.0000 0.0000
0.0000 5.1137 0.0000
0.0000 0.0000 5.1137
Pb Nb Al
1 3 1
Cartesian
0.0000 0.0000 0.0000
0.0000 2.5569 0.0000
0.0000 0.0000 2.5569
2.5569 0.0000 0.0000
2.5569 2.5569 2.5569
```

=====

Stability check: which of them is most stable? *1*.

=====

*1*
Here is a relaxed Nb2Al2Pb crystal from Alexandria. Energies are from PBE.

Calculated volume, A^3/atom: 19.8
Crystal system: tetragonal
Magnetization, μB per atom: 0.0000

Cell and atoms, written as POSCAR:
```
Nb2Al2Pb
1.0
-2.2644 -3.2976 6.1498
-3.1742 -5.2711 -3.9952
3.1163 -1.9527 0.1004
Pb Nb Al
2 4 4
Cartesian
0.0000 0.0000 0.0000
-2.7193 -4.2844 1.0773
-3.5996 -5.8062 -1.2003
-3.9698 -6.1896 2.8336
-1.8391 -2.7625 3.3549
-1.4689 -2.3791 -0.6791
-0.9076 -4.9962 -1.5993
-2.6013 -7.5774 0.7689
-1.4148 -5.5252 3.8543
0.2789 -2.9440 1.4861
```

=====

*2*
Here is a relaxed Nb2Al2Pb crystal from Alexandria. Energies are from PBE.

Calculated volume, A^3/atom: 18.6
Crystal system: tetragonal
Magnetization, μB per atom: 0.0000

Cell and atoms, written as POSCAR:
```
Nb2Al2Pb
1.0
-1.6115 6.2146 -3.2303
-6.2279 0.2451 3.5785
1.6021 1.8006 2.6649
Pb Nb Al
2 4 4
Cartesian
0.0000 0.0000 0.0000
-3.9197 3.2298 0.1741
-3.6673 2.1389 3.1819
-5.4350 5.2840 2.1195
-2.5700 6.1214 -0.1687
-0.8023 2.9763 0.8936
-6.0685 2.5572 1.9205
-5.2937 5.6023 -0.6028
-1.7708 3.9025 -1.5723
-2.5456 0.8574 0.9511
```

=====

Stability check: which of them is most stable? *1*.

=====

*1*
Here is a relaxed NbAlPd6 crystal from Alexandria. Energies are from PBE.

Calculated volume, A^3/atom: 15.3
Crystal system: tetragonal
Magnetization, μB per atom: 0.0000

Cell and atoms, written as POSCAR:
```
NbAlPd6
1.0
-2.6086 2.6077 1.3907
-2.9080 -1.9338 -1.8284
-1.0538 -4.4682 6.4017
Nb Al Pd
1 1 6
Cartesian
-0.5269 -2.2341 3.2008
0.0000 0.0000 0.0000
-2.7583 0.3370 -0.2189
-3.2852 -1.8971 2.9820
-1.5682 0.1847 2.2988
-2.0942 -2.0452 5.4937
-1.7179 -2.0860 0.6892
-2.2439 -4.3160 3.8841
```

=====

*2*
Here is a relaxed NbAlPd6 crystal from Alexandria. Energies are from PBE.

Calculated volume, A^3/atom: 15.8
Crystal system: triclinic
Magnetization, μB per atom: 0.0000

Cell and atoms, written as POSCAR:
```
NbAlPd6
1.0
6.9114 -0.2191 0.1741
3.2482 6.0973 0.1454
3.4510 2.0022 3.0671
Nb Al Pd
1 1 6
Cartesian
0.0000 0.0000 0.0000
6.8053 3.9402 1.6933
4.3860 4.5744 2.1646
10.9177 7.1913 2.6446
5.3946 1.9666 0.9397
2.6930 0.6891 0.7420
9.2247 3.3060 1.2220
8.2161 5.9137 2.4469
```

=====

Stability check: which of them is most stable? *1*.